Entry w
This record from Alexandria via LeMat-Bulk describes a relaxed Tb7Sm4Tm crystal. The functional is PBE-GGA.

Calculated values
Symmetry: C2/m, No. 12

a b c (Å): 6.7249 6.7249 12.7444
angles (deg): 114.92 114.92 52.39
Last column: nearest neighbours and their distance in Å.
Element x y z (fractional)
Tb: 0.0000 0.0000 0.0000  2 Tm 2.97, 2 Tb 3.13
Tb: 0.2121 0.2121 0.9239  4 Tb 3.13-3.43, 1 Tm 3.14, 4 Sm 3.34-3.40
Tb: 0.2547 0.2547 0.6874  4 Tb 3.28-3.63, 1 Sm 3.66
Tb: 0.3648 0.3648 0.4963  2 Tb 3.22-3.28, 5 Sm 3.30-3.56
Tb: 0.6352 0.6352 0.5037  2 Tb 3.22-3.28, 5 Sm 3.30-3.56
Tb: 0.7453 0.7453 0.3126  4 Tb 3.28-3.63, 1 Sm 3.66
Tb: 0.7879 0.7879 0.0761  4 Tb 3.13-3.43, 1 Tm 3.14, 4 Sm 3.34-3.40
Sm: 0.0570 0.0570 0.3298  5 Tb 3.30-3.66, 2 Sm 3.62
Sm: 0.3644 0.3644 0.2229  7 Tb 3.36-3.71, 2 Sm 3.62
Sm: 0.6356 0.6356 0.7771  7 Tb 3.36-3.71, 2 Sm 3.62
Sm: 0.9430 0.9430 0.6702  5 Tb 3.30-3.66, 2 Sm 3.62
Tm: 0.5000 0.5000 0.0000  4 Tb 2.97-3.14


Entry x
This record from Alexandria via LeMat-Bulk describes a relaxed Tb7Sm4Tm crystal. The functional is PBE-GGA.

Calculated values
Symmetry: P-1, No. 2

a b c (Å): 6.5323 6.8278 9.0986
angles (deg): 85.95 77.30 82.42
Last column: nearest neighbours and their distance in Å.
Element x y z (fractional)
Tb: 0.0000 0.0000 0.0000  4 Sm 3.37-3.65, 2 Tm 3.41, 4 Tb 3.53-3.74
Tb: 0.1904 0.6058 0.3845  5 Tb 3.30-3.62, 5 Sm 3.33-3.67
Tb: 0.3155 0.1990 0.6399  5 Tb 3.39-3.74, 4 Sm 3.47-3.56
Tb: 0.4888 0.7467 0.0515  5 Tb 3.38-3.54, 4 Sm 3.38-3.70, 1 Tm 3.49
Tb: 0.5112 0.2533 0.9485  5 Tb 3.38-3.54, 4 Sm 3.38-3.70, 1 Tm 3.49
Tb: 0.6845 0.8010 0.3601  5 Tb 3.39-3.74, 4 Sm 3.47-3.56
Tb: 0.8096 0.3942 0.6155  5 Tb 3.30-3.62, 5 Sm 3.33-3.67
Sm: 0.1581 0.1162 0.3078  7 Tb 3.37-3.70, 2 Sm 3.52
Sm: 0.3602 0.6919 0.7179  8 Tb 3.33-3.69, 1 Tm 3.39, 2 Sm 3.52
Sm: 0.6398 0.3081 0.2821  8 Tb 3.33-3.69, 1 Tm 3.39, 2 Sm 3.52
Sm: 0.8419 0.8838 0.6922  7 Tb 3.37-3.70, 2 Sm 3.52
Tm: 0.0000 0.5000 0.0000  2 Sm 3.39, 4 Tb 3.41-3.49


Stability verdict: entry x, ahead by 0.188 eV/atom